TlCd2In2Hg7: relaxed, PBE.

a b c (Å): 5.392 5.485 11.467
angles (deg): 103.84 103.60 90.00
Element x y z (fractional)
Hg 0.589 0.092 0.179
Hg 0.824 0.823 0.648
Hg 0.088 0.584 0.176
Hg 0.176 0.175 0.352
Hg 0.500 0.502 0.000
Hg 0.912 0.408 0.824
Hg 0.411 0.913 0.821
Tl 0.000 0.995 0.000
Cd 0.751 0.251 0.501
Cd 0.249 0.750 0.499
In 0.336 0.339 0.673
In 0.664 0.667 0.327

Calculated values
Final energy (eV per cell): -11.5
Total magnetization (μB/f.u.): 0.000
Energy of formation from the pure elements (eV per atom): 0.02